Entry 1:
A relaxed NaPmSn crystal, computed with PBE.

Cell: 3.5626 5.2079 5.2079 Å, 120.00 90.00 90.00°
With the nearest neighbours (Å) after each atom.
Sites, in units of the cell vectors:
Pm 0.3368 0.3333 0.6667  6 Sn 3.43-3.56, 6 Na 3.45-3.54, 2 Pm 3.56
Sn 0.8007 0.6667 0.3333  3 Na 3.01
Na 0.8625 0.0000 0.0000  3 Sn 3.01

Summary:
**E_form**: -0.3283 eV/atom
**Density**: 5.689 g cm⁻³
**Offset from the most stable computed form**: 0.57 eV/f.u.
**Total DFT energy (no corrections)**: -0.1354 hartree per atom

Entry 2:
A relaxed NaPmSn3 crystal, computed with PBE.

Cell: 6.3131 6.3565 13.9757 Å, 90.00 90.00 90.01°
With the nearest neighbours (Å) after each atom.
Sites, in units of the cell vectors:
Na 0.7500 0.5000 0.9020  2 Na 3.18, 6 Sn 3.34-3.43
Na 0.2500 0.0000 0.0981  2 Na 3.18, 6 Sn 3.34-3.43
Na 0.7500 0.0000 0.9019  2 Na 3.18, 6 Sn 3.34-3.43
Na 0.2500 0.5000 0.0980  2 Na 3.18, 6 Sn 3.34-3.43
Sn 0.7239 0.7500 0.1119  3 Sn 3.02-3.20, 1 Pm 3.25, 2 Na 3.34
Sn 0.2500 0.0000 0.5042  4 Sn 3.16-3.18, 4 Pm 3.32-3.39
Sn 0.7500 0.5000 0.4958  4 Sn 3.16-3.18, 4 Pm 3.32-3.39
Sn 0.2500 0.5000 0.5042  4 Sn 3.16-3.18, 4 Pm 3.32-3.39
Sn 0.7761 0.2500 0.1119  3 Sn 3.02-3.20, 1 Pm 3.25, 2 Na 3.34
Sn 0.2761 0.2500 0.8881  3 Sn 3.02-3.20, 1 Pm 3.25, 2 Na 3.34
Sn 0.2239 0.7500 0.8881  3 Sn 3.02-3.20, 1 Pm 3.25, 2 Na 3.34
Sn 0.4932 0.2500 0.2860  1 Sn 3.02, 4 Pm 3.14-3.25
Sn 0.5068 0.7500 0.7140  1 Sn 3.02, 4 Pm 3.14-3.25
Sn 0.7500 0.0000 0.4958  4 Sn 3.16-3.18, 4 Pm 3.32-3.39
Sn 0.0068 0.7500 0.2860  1 Sn 3.02, 4 Pm 3.14-3.25
Sn 0.9932 0.2500 0.7140  1 Sn 3.02, 4 Pm 3.14-3.25
Pm 0.4977 0.7500 0.3210  9 Sn 3.14-3.39
Pm 0.5023 0.2500 0.6790  9 Sn 3.14-3.39
Pm 0.0023 0.2500 0.3210  9 Sn 3.14-3.39
Pm 0.9977 0.7500 0.6790  9 Sn 3.14-3.39

Summary:
**E_form**: -0.3670 eV/atom
**Density**: 6.207 g cm⁻³
**Offset from the most stable computed form**: 0.00 eV/f.u.
**Total DFT energy (no corrections)**: -0.1464 hartree per atom

Entry 3:
A relaxed NaPmSn crystal, computed with PBE.

Cell: 5.2229 5.2229 5.2229 Å, 60.00 60.00 60.00°
With the nearest neighbours (Å) after each atom.
Sites, in units of the cell vectors:
Pm 0.0000 0.0000 0.0000  4 Sn 3.20
Sn 0.2500 0.2500 0.2500  4 Na 3.20, 4 Pm 3.20
Na 0.5000 0.5000 0.5000  4 Sn 3.20

Summary:
**E_form**: -0.3337 eV/atom
**Density**: 4.726 g cm⁻³
**Offset from the most stable computed form**: 0.55 eV/f.u.
**Total DFT energy (no corrections)**: -0.1357 hartree per atom